Record 1
{"formula": "BeRhBr", "functional": "GGA-PBE", "state": "optimized geometry", "lattice": [[-2.819, -1.948, 2.430], [-1.168, -2.378, -3.260], [4.230, -4.195, 1.544]], "species": ["Be", "Be", "Rh", "Rh", "Br", "Br"], "fractional_positions": [[0.000, 0.500, 0.704], [0.500, 0.000, 0.296], [0.000, 0.500, 0.040], [0.500, 0.000, 0.960], [0.000, 0.000, 0.500], [0.500, 0.500, 0.500]], "dos_ef_per_ev_atom": 0.44, "de_polymorph_mev_per_atom": 1004.4, "energy_ev_per_atom": -3.674, "space_group": "P4/nmm (129)", "e_form_raw_mev_per_atom": 576}



Record 2
{"formula": "GaOs2Pd", "functional": "GGA-PBE", "state": "optimized geometry", "lattice": [[5.847, 0.000, 0.000], [0.000, 5.847, 0.000], [2.924, 2.924, 5.121]], "species": ["Os", "Os", "Os", "Os", "Ga", "Ga", "Pd", "Pd"], "fractional_positions": [[0.629, 0.125, 0.250], [0.121, 0.625, 0.250], [0.375, 0.371, 0.750], [0.875, 0.879, 0.750], [0.500, 0.500, 0.000], [0.250, 0.750, 0.500], [0.000, 0.000, 0.000], [0.750, 0.250, 0.500]], "dos_ef_per_ev_atom": 1.07, "energy_ev_per_atom": -5.948, "space_group": "I-42d (122)"}



Record 3
{"formula": "Ce5DyPb4", "functional": "GGA-PBE", "state": "optimized geometry", "lattice": [[4.795, 0.000, 0.000], [0.000, 7.963, -1.975], [-2.397, -3.543, 8.879]], "species": ["Ce", "Ce", "Ce", "Ce", "Ce", "Dy", "Pb", "Pb", "Pb", "Pb"], "fractional_positions": [[0.726, 0.572, 0.453], [0.873, 0.201, 0.746], [0.127, 0.799, 0.254], [0.500, 0.500, 0.000], [0.274, 0.428, 0.547], [0.500, 0.000, 0.000], [0.317, 0.900, 0.633], [0.928, 0.668, 0.856], [0.683, 0.100, 0.367], [0.072, 0.332, 0.144]], "dos_ef_per_ev_atom": 2.56, "energy_ev_per_atom": -5.224, "space_group": "C2/m (12)"}



Record 4
{"formula": "K4NpTa3O12", "functional": "GGA-PBE", "state": "optimized geometry", "lattice": [[7.101, 0.000, 0.000], [-2.367, 6.695, 0.000], [-2.367, -3.347, 5.798]], "species": ["K", "K", "K", "K", "Np", "Ta", "Ta", "Ta", "O", "O", "O", "O", "O", "O", "O", "O", "O", "O", "O", "O"], "fractional_positions": [[0.500, 0.500, 0.500], [0.000, 0.000, 0.500], [0.500, 0.000, 0.000], [0.000, 0.500, 0.000], [0.000, 0.000, 0.000], [0.500, 0.000, 0.500], [0.500, 0.500, 0.000], [0.000, 0.500, 0.500], [0.250, 0.500, 0.750], [0.741, 0.000, 0.741], [0.259, 0.000, 0.259], [0.750, 0.500, 0.250], [0.741, 0.741, 0.000], [0.259, 0.259, 0.000], [0.750, 0.250, 0.500], [0.250, 0.750, 0.500], [0.500, 0.250, 0.750], [0.000, 0.741, 0.741], [0.500, 0.750, 0.250], [0.000, 0.259, 0.259]], "dos_ef_per_ev_atom": 0.38, "energy_ev_per_atom": -8.258, "space_group": "Im-3m (229)", "e_form_raw_mev_per_atom": -2639}



Record 5
{"formula": "TbHo2Pa", "functional": "GGA-PBE", "state": "optimized geometry", "lattice": [[-0.884, 4.813, -0.489], [-4.426, -0.998, -1.819], [-1.880, 0.113, 4.511]], "species": ["Pa", "Tb", "Ho", "Ho"], "fractional_positions": [[0.500, 0.000, 0.000], [0.500, 0.500, 0.500], [0.000, 0.000, 0.500], [0.000, 0.500, 0.000]], "dos_ef_per_ev_atom": 1.26, "de_polymorph_mev_per_atom": 84.8, "energy_ev_per_atom": -5.609, "space_group": "P4/mmm (123)"}



Record 6
{"formula": "NaHfI2O", "functional": "GGA-PBE", "state": "optimized geometry", "lattice": [[5.940, 0.000, 0.000], [0.000, 5.940, 0.000], [0.000, 0.000, 4.002]], "species": ["I", "I", "Na", "Hf", "O"], "fractional_positions": [[0.000, 0.500, 0.000], [0.500, 0.000, 0.000], [0.500, 0.500, 0.500], [0.000, 0.000, 0.000], [0.000, 0.000, 0.500]], "dos_ef_per_ev_atom": 0.36, "de_polymorph_mev_per_atom": 0.0, "energy_ev_per_atom": -5.223, "space_group": "P4/mmm (123)", "e_form_raw_mev_per_atom": -1357}